# GGA+U ZrTiCo2O6, optimized geometry
data_ZrTiCo2O6
_chemical_formula_sum 'Zr1 Ti1 Co2 O6'
_cell_length_a 5.230
_cell_length_b 5.233
_cell_length_c 5.624
_cell_angle_alpha 62.27
_cell_angle_beta 62.32
_cell_angle_gamma 60.02
_space_group_name_H-M_alt 'P 1'
_space_group_IT_number 1
loop_
_space_group_symop_operation_xyz
'x,y,z'
loop_
_atom_site_label
_atom_site_fract_x
_atom_site_fract_y
_atom_site_fract_z
_atom_site_occupancy
O1 0.113 0.422 0.760 1
O2 0.705 0.113 0.760 1
O3 0.422 0.704 0.760 1
O4 0.588 0.219 0.248 1
O5 0.219 0.944 0.248 1
O6 0.944 0.588 0.248 1
Ti1 0.311 0.312 0.066 1
Co1 0.522 0.522 0.434 1
Co2 0.026 0.025 0.924 1
Zr1 0.811 0.812 0.566 1
# total moment	6.0	Bohr magnetons per cell
# uncorrected energy	-79.3	eV per formula unit
# mass density	5.21	g/cm3